(1)
The following is a PBE-GGA calculation of SiMo2Br after structural relaxation, from Alexandria via LeMat-Bulk.

Cell: 3.1280 3.1280 24.6187 Å, 90.00 90.00 120.00°
With the nearest neighbours (Å) after each atom.
Space group R3m (No. 160, hexagonal axes)
Inequivalent atoms, fractional coordinates:
1 Si 0.0000 0.0000 0.0000 x3  3 Mo 2.51
2 Mo 0.0000 0.0000 0.2625 x3  3 Si 2.51, 3 Mo 2.73
3 Mo 0.0000 0.0000 0.5125 x3  3 Br 2.66, 3 Mo 2.73
4 Br 0.0000 0.0000 0.7663 x3  3 Mo 2.66

**E_form (uncorrected)**: 130 kJ/mol of formula units
**Density of states at the Fermi level**: 2.40 states/eV/f.u.
**Crystal system**: trigonal
**Energy relative to the lowest polymorph listed for this composition**: 0.1989 eV/atom
**Magnetic moment**: 0.00 Bohr magnetons per cell

(2)
The following is a PBE-GGA calculation of PaCoPdAu after structural relaxation, from Alexandria via LeMat-Bulk.

Cell: 6.5729 6.5729 6.5729 Å, 90.00 90.00 90.00°
With the nearest neighbours (Å) after each atom.
Space group F-43m (No. 216)
Inequivalent atoms, fractional coordinates:
1 Pa 0.0000 0.0000 0.0000 x4  4 Pd 2.85, 4 Co 2.85
2 Co 0.2500 0.2500 0.7500 x4  4 Pa 2.85, 4 Au 2.85
3 Pd 0.2500 0.2500 0.2500 x4  4 Pa 2.85, 4 Au 2.85
4 Au 0.0000 0.0000 0.5000 x4  4 Co 2.85, 4 Pd 2.85

**Density of states at the Fermi level**: 4.85 states/eV/f.u.
**Crystal system**: cubic
**Energy of formation from the pure elements**: -296 meV per atom
**Magnetic moment**: 0.00 Bohr magnetons per cell

(3)
The following is a PBE-GGA calculation of Ba3U2CuS9 after structural relaxation, from Alexandria via LeMat-Bulk.

Cell: 7.1312 7.1312 8.8303 Å, 90.00 90.00 120.00°
With the nearest neighbours (Å) after each atom.
Space group P-3m1 (No. 164)
Inequivalent atoms, fractional coordinates:
1 Ba 0.0000 0.0000 0.0000 x1  12 S 3.57-3.59
2 Ba 0.3333 0.6667 0.6521 x2  12 S 3.49-3.70
3 U 0.3333 0.6667 0.1828 x2  6 S 2.51-2.62
4 Cu 0.0000 0.0000 0.5000 x1  6 S 2.48
5 S 0.0000 0.5000 0.0000 x3  2 U 2.62
6 S 0.1630 0.3261 0.3370 x6  1 Cu 2.48, 1 U 2.51

**E_form (uncorrected)**: -2148 kJ/mol of formula units
**Density of states at the Fermi level**: 6.18 states/eV/f.u.
**Crystal system**: trigonal
**Magnetic moment**: 0.99 Bohr magnetons per cell

(4)
The following is a PBE-GGA calculation of MnSb6Pd after structural relaxation, from Alexandria via LeMat-Bulk.

Cell: 13.2438 9.3873 9.3592 Å, 90.00 134.89 90.00°
With the nearest neighbours (Å) after each atom.
Space group C2/m (No. 12)
Inequivalent atoms, fractional coordinates:
1 Mn 0.2500 0.2500 0.0000 x4  6 Sb 2.57-2.61
2 Sb 0.0085 0.1562 0.8473 x8  1 Mn 2.57, 1 Pd 2.71
3 Sb 0.1521 0.5000 0.3052 x4  2 Pd 2.68, 1 Sb 2.93
4 Sb 0.1557 0.3388 0.6643 x8  1 Mn 2.57, 1 Pd 2.71
5 Sb 0.1698 0.5000 0.0107 x4  2 Mn 2.61
6 Pd 0.2500 0.2500 0.5000 x4  6 Sb 2.68-2.71

**E_form (uncorrected)**: -107 kJ/mol of formula units
**Density of states at the Fermi level**: 3.80 states/eV/f.u.
**Crystal system**: monoclinic
**Magnetic moment**: 4.09 Bohr magnetons per cell

(5)
The following is a PBE-GGA calculation of HfCrMo after structural relaxation, from Alexandria via LeMat-Bulk.

Cell: 3.1318 3.1318 9.8808 Å, 90.00 90.00 90.00°
With the nearest neighbours (Å) after each atom.
Space group I4mm (No. 107)
Inequivalent atoms, fractional coordinates:
1 Hf 0.0000 0.0000 0.0000 x2  4 Cr 2.82, 5 Mo 2.89-3.09, 4 Hf 3.13
2 Cr 0.0000 0.0000 0.6769 x2  4 Mo 2.59, 4 Hf 2.82
3 Mo 0.0000 0.0000 0.3127 x2  4 Cr 2.59, 4 Hf 2.89

**Density of states at the Fermi level**: 2.75 states/eV/f.u.
**Crystal system**: tetragonal
**Energy of formation from the pure elements**: -1 meV per atom
**Energy relative to the lowest polymorph listed for this composition**: 0.1299 eV/atom
**Magnetic moment**: 0.00 Bohr magnetons per cell

(6)
The following is a PBE-GGA calculation of Na2NpScO6 after structural relaxation, from Alexandria via LeMat-Bulk.

Cell: 5.6954 5.6956 5.7467 Å, 89.98 60.30 60.00°
With the nearest neighbours (Å) after each atom.
Space group P1 (No. 1)
Inequivalent atoms, fractional coordinates:
1 Na 0.0000 0.0000 0.0000 x1  3 O 2.40
2 Na 0.0108 0.4952 0.4851 x1  3 O 2.40
3 Np 0.5039 0.2484 0.7449 x1  6 O 2.03
4 Sc 0.5040 0.7483 0.2447 x1  6 O 2.12
5 O 0.0155 0.5707 0.9903 x1  1 Np 2.03, 1 Sc 2.12
6 O 0.4229 0.0063 0.9910 x1  1 Np 2.03, 1 Sc 2.12
7 O 0.4282 0.0824 0.4982 x1  1 Np 2.03, 1 Sc 2.12
8 O 0.5789 0.4143 0.9922 x1  1 Np 2.03, 1 Sc 2.12
9 O 0.5841 0.4912 0.4995 x1  1 Np 2.03, 1 Sc 2.12
10 O 0.9922 0.9262 0.5002 x1  1 Np 2.03, 1 Sc 2.12

**E_form (uncorrected)**: -2518 kJ/mol of formula units
**Crystal system**: triclinic
**Magnetic moment**: 0.00 Bohr magnetons per cell

(7)
The following is a PBE-GGA calculation of CuNi2Mo after structural relaxation, from Alexandria via LeMat-Bulk.

Cell: 3.7118 3.7118 7.1297 Å, 90.00 90.00 90.00°
With the nearest neighbours (Å) after each atom.
Space group I4/mmm (No. 139)
Inequivalent atoms, fractional coordinates:
1 Cu 0.0000 0.0000 0.0000 x2  8 Ni 2.57, 4 Mo 2.62
2 Ni 0.0000 0.5000 0.2500 x4  4 Mo 2.57, 4 Cu 2.57, 4 Ni 2.62
3 Mo 0.0000 0.0000 0.5000 x2  8 Ni 2.57, 4 Cu 2.62

**Density of states at the Fermi level**: 4.81 states/eV/f.u.
**Crystal system**: tetragonal
**Energy of formation from the pure elements**: 76 meV per atom
**Energy relative to the lowest polymorph listed for this composition**: 0.0829 eV/atom
**Magnetic moment**: 0.00 Bohr magnetons per cell

(8)
The following is a PBE-GGA calculation of Sr2PPt after structural relaxation, from Alexandria via LeMat-Bulk.

Cell: 4.3412 4.3412 10.7835 Å, 90.00 90.00 90.00°
With the nearest neighbours (Å) after each atom.
Space group I-4m2 (No. 119)
Inequivalent atoms, fractional coordinates:
1 Sr 0.0000 0.0000 0.0000 x2  4 Pt 3.07
2 Sr 0.0000 0.5000 0.2500 x2  4 P 3.07
3 P 0.0000 0.5000 0.7500 x2  4 Sr 3.07
4 Pt 0.0000 0.0000 0.5000 x2  4 Sr 3.07

**Density of states at the Fermi level**: 2.87 states/eV/f.u.
**Crystal system**: tetragonal
**Energy of formation from the pure elements**: -549 meV per atom
**Magnetic moment**: 0.00 Bohr magnetons per cell

(9)
The following is a PBE-GGA calculation of Er3Zn4Cd after structural relaxation, from Alexandria via LeMat-Bulk.

Cell: 4.8705 4.8705 24.6159 Å, 90.00 90.00 120.00°
With the nearest neighbours (Å) after each atom.
Space group R-3m (No. 166, hexagonal axes)
Inequivalent atoms, fractional coordinates:
1 Er 0.0000 0.0000 0.0000 x3  8 Zn 2.96-3.06
2 Er 0.0000 0.0000 0.2445 x6  8 Zn 2.94-3.11
3 Zn 0.0000 0.0000 0.1241 x6  5 Er 2.94-3.06, 3 Cd 3.00
4 Zn 0.0000 0.0000 0.3708 x6  7 Er 2.96-3.11, 1 Cd 3.18
5 Cd 0.0000 0.0000 0.5000 x3  8 Zn 3.00-3.18

**Density of states at the Fermi level**: 4.09 states/eV/f.u.
**Crystal system**: trigonal
**Energy of formation from the pure elements**: -308 meV per atom
**Magnetic moment**: 0.00 Bohr magnetons per cell

(10)
The following is a PBE-GGA calculation of LiThAgPb after structural relaxation, from Alexandria via LeMat-Bulk.

Cell: 7.3766 7.3766 7.3766 Å, 90.00 90.00 90.00°
With the nearest neighbours (Å) after each atom.
Space group F-43m (No. 216)
Inequivalent atoms, fractional coordinates:
1 Li 0.0000 0.0000 0.0000 x4  4 Ag 3.19, 4 Pb 3.19
2 Th 0.0000 0.0000 0.5000 x4  4 Pb 3.19, 4 Ag 3.19
3 Ag 0.2500 0.2500 0.7500 x4  4 Th 3.19, 4 Li 3.19
4 Pb 0.2500 0.2500 0.2500 x4  4 Th 3.19, 4 Li 3.19

**Density of states at the Fermi level**: 2.59 states/eV/f.u.
**Crystal system**: cubic
**Energy of formation from the pure elements**: -173 meV per atom
**Magnetic moment**: 0.00 Bohr magnetons per cell

(11)
The following is a PBE-GGA calculation of Tb4YEr after structural relaxation, from Alexandria via LeMat-Bulk.

Cell: 3.5585 5.0201 10.6526 Å, 90.00 90.00 90.00°
With the nearest neighbours (Å) after each atom.
Space group Pmmm (No. 47)
Inequivalent atoms, fractional coordinates:
1 Tb 0.0000 0.0000 0.1654 x2  7 Tb 3.52-3.56, 4 Er 3.55, 1 Y 3.56
2 Tb 0.5000 0.5000 0.3318 x2  1 Er 3.53, 7 Tb 3.55-3.58, 4 Y 3.56
3 Y 0.0000 0.0000 0.5000 x1  2 Y 3.56, 10 Tb 3.56
4 Er 0.5000 0.5000 0.0000 x1  10 Tb 3.53-3.55, 2 Er 3.56

**Density of states at the Fermi level**: 8.19 states/eV/f.u.
**Crystal system**: orthorhombic
**Energy of formation from the pure elements**: 17 meV per atom
**Energy relative to the lowest polymorph listed for this composition**: 0.0000 eV/atom
**Magnetic moment**: 0.00 Bohr magnetons per cell

(12)
The following is a PBE-GGA calculation of Mn2V2Pd7 after structural relaxation, from Alexandria via LeMat-Bulk.

Cell: 5.4474 9.1690 7.1309 Å, 90.00 90.00 90.00°
With the nearest neighbours (Å) after each atom.
Space group Cmmm (No. 65)
Inequivalent atoms, fractional coordinates:
1 Mn 0.0000 0.2241 0.0000 x4  7 Pd 2.53-2.61, 2 Mn 2.76
2 V 0.2158 0.5000 0.5000 x4  1 V 2.35, 2 Pd 2.56
3 Pd 0.0000 0.0000 0.2135 x4  2 Mn 2.56, 2 V 2.56, 4 Pd 2.75
4 Pd 0.0000 0.5000 0.0000 x2  2 Mn 2.53
5 Pd 0.2500 0.2500 0.3108 x8  2 Mn 2.61, 2 V 2.67, 5 Pd 2.70-2.75

**Density of states at the Fermi level**: 6.69 states/eV/f.u.
**Crystal system**: orthorhombic
**Energy of formation from the pure elements**: 100 meV per atom
**Magnetic moment**: 13.47 Bohr magnetons per cell

(13)
The following is a PBE-GGA calculation of TiZn2Si after structural relaxation, from Alexandria via LeMat-Bulk.

Cell: 7.1675 7.1675 5.0727 Å, 90.00 90.00 90.00°
With the nearest neighbours (Å) after each atom.
Space group I-42d (No. 122)
Inequivalent atoms, fractional coordinates:
1 Ti 0.0000 0.0000 0.0000 x4  2 Si 2.54, 4 Zn 2.77
2 Zn 0.2182 0.2500 0.6250 x8  2 Si 2.46, 2 Zn 2.58
3 Si 0.0000 0.0000 0.5000 x4  4 Zn 2.46, 2 Ti 2.54

**E_form (uncorrected)**: 16 kJ/mol of formula units
**Density of states at the Fermi level**: 1.42 states/eV/f.u.
**Crystal system**: tetragonal
**Magnetic moment**: 0.00 Bohr magnetons per cell

(14)
The following is a PBE-GGA calculation of GdCuSn2 after structural relaxation, from Alexandria via LeMat-Bulk.

Cell: 3.4094 3.4094 30.6081 Å, 90.00 90.00 120.00°
With the nearest neighbours (Å) after each atom.
Space group R-3m (No. 166, hexagonal axes)
Inequivalent atoms, fractional coordinates:
1 Gd 0.0000 0.0000 0.0000 x3  2 Sn 3.17, 6 Gd 3.41
2 Cu 0.0000 0.0000 0.5000 x3  6 Sn 2.76
3 Sn 0.0000 0.0000 0.1036 x6  3 Cu 2.76

**Density of states at the Fermi level**: 3.01 states/eV/f.u.
**Crystal system**: trigonal
**Energy of formation from the pure elements**: 119 meV per atom
**Energy relative to the lowest polymorph listed for this composition**: 0.4817 eV/atom
**Magnetic moment**: 22.59 Bohr magnetons per cell

(15)
The following is a PBE-GGA calculation of LiNd2ZnAg6 after structural relaxation, from Alexandria via LeMat-Bulk.

Cell: 5.1633 5.5461 8.0626 Å, 99.48 105.15 102.82°
With the nearest neighbours (Å) after each atom.
Space group P-1 (No. 2)
Inequivalent atoms, fractional coordinates:
1 Li 0.0000 0.0000 0.0000 x1  6 Ag 2.77-3.02
2 Nd 0.1113 0.3052 0.6728 x2  7 Ag 3.05-3.36, 2 Zn 3.05-3.32
3 Zn 0.5000 0.0000 0.5000 x1  4 Ag 2.68-2.90
4 Ag 0.2686 0.3167 0.3342 x2  1 Zn 2.68, 1 Li 2.77, 2 Ag 2.83
5 Ag 0.2932 0.5965 0.0722 x2  5 Ag 2.82-2.99, 1 Li 3.02, 2 Nd 3.09-3.14
6 Ag 0.3610 0.8906 0.8104 x2  2 Li 2.80-3.12, 5 Ag 2.83-3.03, 1 Zn 2.90, 2 Nd 3.10-3.11

**Density of states at the Fermi level**: 4.71 states/eV/f.u.
**Crystal system**: triclinic
**Energy of formation from the pure elements**: -157 meV per atom
**Magnetic moment**: 0.00 Bohr magnetons per cell

(16)
The following is a PBE-GGA calculation of Nb2NiHg2S6 after structural relaxation, from Alexandria via LeMat-Bulk.

Cell: 5.8145 10.4379 9.1978 Å, 90.00 104.71 90.00°
With the nearest neighbours (Å) after each atom.
Space group C2/m (No. 12)
Inequivalent atoms, fractional coordinates:
1 Nb 0.0000 0.1561 0.0000 x4  6 S 2.45-2.52
2 Ni 0.0000 0.5000 0.0000 x2  6 S 2.37-2.39
3 Hg 0.0000 0.2502 0.5000 x4  2 Hg 2.91, 2 S 3.18
4 S 0.0911 0.3364 0.8419 x8  1 Ni 2.39, 2 Nb 2.45-2.52
5 S 0.1180 0.0000 0.8311 x4  1 Ni 2.37, 2 Nb 2.47

**E_form (uncorrected)**: -575 kJ/mol of formula units
**Density of states at the Fermi level**: 5.23 states/eV/f.u.
**Crystal system**: monoclinic
**Magnetic moment**: 2.22 Bohr magnetons per cell

(17)
The following is a PBE-GGA calculation of Dy2RhI2 after structural relaxation, from Alexandria via LeMat-Bulk.

Cell: 7.1005 4.0984 12.0462 Å, 90.00 102.56 90.00°
With the nearest neighbours (Å) after each atom.
Space group C2/m (No. 12)
Inequivalent atoms, fractional coordinates:
1 Dy 0.2143 0.0000 0.1292 x4  3 Rh 2.81
2 Rh 0.0000 0.5000 0.0000 x2  6 Dy 2.81
3 I 0.0522 0.0000 0.6897 x4  3 Dy 3.18

**E_form (uncorrected)**: -517 kJ/mol of formula units
**Density of states at the Fermi level**: 3.18 states/eV/f.u.
**Crystal system**: monoclinic
**Magnetic moment**: 0.00 Bohr magnetons per cell

(18)
The following is a PBE-GGA calculation of NdHoEr2As4 after structural relaxation, from Alexandria via LeMat-Bulk.

Cell: 7.1609 4.1385 7.1631 Å, 90.00 109.48 90.00°
With the nearest neighbours (Å) after each atom.
Space group P2/m (No. 10)
Inequivalent atoms, fractional coordinates:
1 Nd 0.0000 0.0000 0.0000 x1  6 As 2.97
2 Ho 0.0000 0.5000 0.5000 x1  6 As 2.93
3 Er 0.5000 0.0000 0.5000 x1  6 As 2.88
4 Er 0.5000 0.5000 0.0000 x1  6 As 2.92
5 As 0.2546 0.0000 0.7469 x2  3 Er 2.88-2.92, 2 Ho 2.93, 1 Nd 2.97
6 As 0.2583 0.5000 0.2575 x2  3 Er 2.88-2.92, 1 Ho 2.93, 2 Nd 2.97

**Density of states at the Fermi level**: 0.91 states/eV/f.u.
**Crystal system**: monoclinic
**Energy of formation from the pure elements**: -1510 meV per atom
**Magnetic moment**: 0.00 Bohr magnetons per cell

(19)
The following is a PBE-GGA calculation of Te2AsRh after structural relaxation, from Alexandria via LeMat-Bulk.

Cell: 4.0266 3.9791 5.6009 Å, 90.00 90.29 90.00°
With the nearest neighbours (Å) after each atom.
Space group P2/m (No. 10)
Inequivalent atoms, fractional coordinates:
1 Te 0.0000 0.0000 0.0000 x1  2 As 2.80, 4 Rh 2.83
2 Te 0.5000 0.5000 0.5000 x1  2 Rh 2.80, 4 As 2.83
3 As 0.0000 0.0000 0.5000 x1  6 Te 2.80-2.83
4 Rh 0.5000 0.5000 0.0000 x1  6 Te 2.80-2.83

**E_form (uncorrected)**: -2 kJ/mol of formula units
**Density of states at the Fermi level**: 2.43 states/eV/f.u.
**Crystal system**: monoclinic
**Magnetic moment**: 0.00 Bohr magnetons per cell

(20)
The following is a PBE-GGA calculation of Cr2BiPd9 after structural relaxation, from Alexandria via LeMat-Bulk.

Cell: 3.9925 3.9925 11.9510 Å, 90.00 90.00 90.00°
With the nearest neighbours (Å) after each atom.
Space group P4/mmm (No. 123)
Inequivalent atoms, fractional coordinates:
1 Cr 0.0000 0.0000 0.1559 x2  12 Pd 2.73-2.82
2 Bi 0.0000 0.0000 0.5000 x1  12 Pd 2.82-2.93
3 Pd 0.0000 0.5000 0.0000 x2  4 Cr 2.73, 8 Pd 2.77-2.82
4 Pd 0.0000 0.5000 0.3203 x4  8 Pd 2.76-2.93, 2 Cr 2.80, 2 Bi 2.93
5 Pd 0.5000 0.5000 0.1613 x2  8 Pd 2.76-2.77, 4 Cr 2.82
6 Pd 0.5000 0.5000 0.5000 x1  4 Bi 2.82, 8 Pd 2.93

**Density of states at the Fermi level**: 13.22 states/eV/f.u.
**Crystal system**: tetragonal
**Energy of formation from the pure elements**: -128 meV per atom
**Magnetic moment**: 6.35 Bohr magnetons per cell